Below is a crystal of PrC6N9 relaxed with PBEsol, with properties calculated at the meta-GGA SCAN level.

```
32
Lattice="-6.727 -0.255 -1.911 1.591 -5.213 4.389 -2.486 5.940 7.956" Properties=species:S:1:pos:R:3 pbc="T T T"
Pr -6.241 2.799 5.836
Pr -1.380 -2.327 4.598
C -5.887 2.478 2.244
C -0.260 -0.435 7.478
C -1.734 -2.005 8.190
C -3.131 -0.066 2.363
C -6.364 -1.475 -0.237
C -4.490 0.539 8.071
C -4.597 -1.627 3.070
C -3.024 2.100 7.364
C -2.732 0.378 11.382
C -7.361 0.908 2.956
C -4.889 0.095 -0.948
C -1.257 1.948 10.671
N 0.239 -4.357 3.474
N -7.860 4.830 6.960
N -3.550 -2.245 5.868
N -4.786 -0.416 8.691
N -1.958 2.595 7.327
N -4.072 2.717 4.566
N -4.223 1.597 7.365
N -3.398 -1.124 3.069
N -1.272 0.180 4.769
N -6.349 0.293 5.665
N -2.836 0.889 1.743
N -0.514 -1.632 2.341
N -4.830 4.530 6.994
N -5.663 -2.122 3.107
N -2.791 -4.057 3.440
N -6.672 1.991 3.159
N -7.107 2.105 8.093
N -0.949 -1.519 7.276
```

- mass density (Mg/m³) = 2.41
- total energy (eV per atom) = -11.777
- energy relative to the elements, uncorrected (eV per atom) = -0.056